Here is crystalline Th2InGe2Ru5 at its relaxed geometry from Alexandria via LeMat-Bulk. Energies are from PBE.

Results
Its space group is No. 127. The formation energy comes out at -4.4 eV/f.u.

Geometry as CIF:
```
data_Th2InGe2Ru5
_chemical_formula_sum 'Th4 In2 Ge4 Ru10'
_cell_length_a 3.531
_cell_length_b 10.173
_cell_length_c 10.173
_cell_angle_alpha 90.00
_cell_angle_beta 90.00
_cell_angle_gamma 90.00
_space_group_name_H-M_alt 'P 1'
_space_group_IT_number 1
loop_
_space_group_symop_operation_xyz
'x,y,z'
loop_
_atom_site_label
_atom_site_type_symbol
_atom_site_fract_x
_atom_site_fract_y
_atom_site_fract_z
Ru1 Ru 0.500 0.570 0.714
Ge1 Ge 0.000 0.122 0.622
Ru2 Ru 0.500 0.000 0.500
Ru3 Ru 0.500 0.430 0.286
Th1 Th 0.000 0.676 0.176
Ge2 Ge 0.000 0.378 0.122
Ru4 Ru 0.500 0.500 0.000
Ru5 Ru 0.500 0.214 0.070
Ge3 Ge 0.000 0.878 0.378
Ru6 Ru 0.500 0.286 0.570
In1 In 0.000 0.000 0.000
Th2 Th 0.000 0.824 0.676
Ru7 Ru 0.500 0.786 0.930
Ru8 Ru 0.500 0.930 0.214
In2 In 0.000 0.500 0.500
Ge4 Ge 0.000 0.622 0.878
Ru9 Ru 0.500 0.070 0.786
Ru10 Ru 0.500 0.714 0.430
Th3 Th 0.000 0.176 0.324
Th4 Th 0.000 0.324 0.824
```

Here is crystalline TlIn2GeRu at its relaxed geometry from Alexandria via LeMat-Bulk. Energies are from PBE.

Results
Its space group is No. 123. The formation energy comes out at 0.2 eV/f.u.

Geometry as CIF:
```
data_TlIn2GeRu
_chemical_formula_sum 'Tl1 In2 Ge1 Ru1'
_cell_length_a 5.259
_cell_length_b 5.259
_cell_length_c 4.725
_cell_angle_alpha 90.00
_cell_angle_beta 90.00
_cell_angle_gamma 90.00
_space_group_name_H-M_alt 'P 1'
_space_group_IT_number 1
loop_
_space_group_symop_operation_xyz
'x,y,z'
loop_
_atom_site_label
_atom_site_type_symbol
_atom_site_fract_x
_atom_site_fract_y
_atom_site_fract_z
Ge1 Ge 0.000 0.000 0.500
Ru1 Ru 0.000 0.000 0.000
In1 In 0.500 0.000 0.000
Tl1 Tl 0.500 0.500 0.500
In2 In 0.000 0.500 0.000
```

Here is crystalline Tm2InGe2Ru5 at its relaxed geometry from Alexandria via LeMat-Bulk. Energies are from PBE.

Results
Its space group is No. 127. The formation energy comes out at -4.0 eV/f.u.

Geometry as CIF:
```
data_Tm2InGe2Ru5
_chemical_formula_sum 'Tm4 In2 Ge4 Ru10'
_cell_length_a 3.416
_cell_length_b 10.020
_cell_length_c 10.020
_cell_angle_alpha 90.00
_cell_angle_beta 90.00
_cell_angle_gamma 90.00
_space_group_name_H-M_alt 'P 1'
_space_group_IT_number 1
loop_
_space_group_symop_operation_xyz
'x,y,z'
loop_
_atom_site_label
_atom_site_type_symbol
_atom_site_fract_x
_atom_site_fract_y
_atom_site_fract_z
In1 In 0.000 0.500 0.500
Ru1 Ru 0.500 0.433 0.291
Ru2 Ru 0.500 0.933 0.209
Tm1 Tm 0.000 0.673 0.173
Ge1 Ge 0.000 0.626 0.874
Tm2 Tm 0.000 0.827 0.673
Ru3 Ru 0.500 0.791 0.933
Ge2 Ge 0.000 0.374 0.126
Ru4 Ru 0.500 0.567 0.709
Tm3 Tm 0.000 0.327 0.827
Ge3 Ge 0.000 0.126 0.626
Ge4 Ge 0.000 0.874 0.374
In2 In 0.000 0.000 0.000
Ru5 Ru 0.500 0.709 0.433
Ru6 Ru 0.500 0.067 0.791
Tm4 Tm 0.000 0.173 0.327
Ru7 Ru 0.500 0.209 0.067
Ru8 Ru 0.500 0.000 0.500
Ru9 Ru 0.500 0.500 0.000
Ru10 Ru 0.500 0.291 0.567
```

Here is crystalline In2GeRuW at its relaxed geometry from Alexandria via LeMat-Bulk. Energies are from PBE.

Results
Its space group is No. 123. The formation energy comes out at 7.8 eV/f.u.

Geometry as CIF:
```
data_In2GeRuW
_chemical_formula_sum 'In2 Ge1 Ru1 W1'
_cell_length_a 5.060
_cell_length_b 4.496
_cell_length_c 5.060
_cell_angle_alpha 90.00
_cell_angle_beta 90.00
_cell_angle_gamma 90.00
_space_group_name_H-M_alt 'P 1'
_space_group_IT_number 1
loop_
_space_group_symop_operation_xyz
'x,y,z'
loop_
_atom_site_label
_atom_site_type_symbol
_atom_site_fract_x
_atom_site_fract_y
_atom_site_fract_z
In1 In 0.000 0.000 0.500
Ru1 Ru 0.000 0.500 0.000
Ge1 Ge 0.000 0.000 0.000
W1 W 0.500 0.500 0.500
In2 In 0.500 0.000 0.000
```

Here is crystalline InGeRu2W at its relaxed geometry from Alexandria via LeMat-Bulk. Energies are from PBE.

Results
As for the distance to the lowest polymorph of the same formula: 896 meV/atom. Its space group is No. 123. The formation energy comes out at 12.1 eV/f.u.

Geometry as CIF:
```
data_InGeRu2W
_chemical_formula_sum 'In1 Ge1 Ru2 W1'
_cell_length_a 4.764
_cell_length_b 4.755
_cell_length_c 4.764
_cell_angle_alpha 90.00
_cell_angle_beta 90.00
_cell_angle_gamma 90.00
_space_group_name_H-M_alt 'P 1'
_space_group_IT_number 1
loop_
_space_group_symop_operation_xyz
'x,y,z'
loop_
_atom_site_label
_atom_site_type_symbol
_atom_site_fract_x
_atom_site_fract_y
_atom_site_fract_z
Ru1 Ru 0.000 0.000 0.500
Ru2 Ru 0.500 0.000 0.000
W1 W 0.500 0.500 0.500
Ge1 Ge 0.000 0.500 0.000
In1 In 0.000 0.000 0.000
```

Here is crystalline InGeRu2W at its relaxed geometry from Alexandria via LeMat-Bulk. Energies are from PBE.

Results
As for the distance to the lowest polymorph of the same formula: 0 meV/atom. Its space group is No. 123. The formation energy comes out at 7.6 eV/f.u.

Geometry as CIF:
```
data_InGeRu2W
_chemical_formula_sum 'In1 Ge1 Ru2 W1'
_cell_length_a 4.450
_cell_length_b 4.870
_cell_length_c 4.450
_cell_angle_alpha 90.00
_cell_angle_beta 90.00
_cell_angle_gamma 90.00
_space_group_name_H-M_alt 'P 1'
_space_group_IT_number 1
loop_
_space_group_symop_operation_xyz
'x,y,z'
loop_
_atom_site_label
_atom_site_type_symbol
_atom_site_fract_x
_atom_site_fract_y
_atom_site_fract_z
Ru1 Ru 0.000 0.000 0.500
Ru2 Ru 0.500 0.000 0.000
In1 In 0.000 0.500 0.000
W1 W 0.500 0.500 0.500
Ge1 Ge 0.000 0.000 0.000
```

Here is crystalline InGe2S3 at its relaxed geometry from Alexandria via LeMat-Bulk. Energies are from PBE.

Results
Its space group is No. 44. The raw formation energy is -0.256 eV per atom.

Geometry as CIF:
```
data_InGe2S3
_chemical_formula_sum 'In1 Ge2 S3'
_cell_length_a 5.461
_cell_length_b 4.044
_cell_length_c 6.783
_cell_angle_alpha 107.34
_cell_angle_beta 113.74
_cell_angle_gamma 90.00
_space_group_name_H-M_alt 'P 1'
_space_group_IT_number 1
loop_
_space_group_symop_operation_xyz
'x,y,z'
loop_
_atom_site_label
_atom_site_type_symbol
_atom_site_fract_x
_atom_site_fract_y
_atom_site_fract_z
In1 In 0.500 0.145 0.000
Ge1 Ge 0.170 0.832 0.340
S1 S 0.000 0.078 0.000
S2 S 0.676 0.774 0.352
Ge2 Ge 0.830 0.492 0.660
S3 S 0.324 0.422 0.648
```

Here is crystalline In2GeS at its relaxed geometry from Alexandria via LeMat-Bulk. Energies are from PBE.

Results
As for the distance to the lowest polymorph of the same formula: 389 meV/atom. Its space group is No. 225. The raw formation energy is 0.172 eV per atom.

Geometry as CIF:
```
data_In2GeS
_chemical_formula_sum 'In2 Ge1 S1'
_cell_length_a 5.018
_cell_length_b 5.018
_cell_length_c 5.018
_cell_angle_alpha 60.00
_cell_angle_beta 60.00
_cell_angle_gamma 60.00
_space_group_name_H-M_alt 'P 1'
_space_group_IT_number 1
loop_
_space_group_symop_operation_xyz
'x,y,z'
loop_
_atom_site_label
_atom_site_type_symbol
_atom_site_fract_x
_atom_site_fract_y
_atom_site_fract_z
Ge1 Ge 0.500 0.500 0.500
S1 S 0.000 0.000 0.000
In1 In 0.750 0.750 0.750
In2 In 0.250 0.250 0.250
```

Here is crystalline InGe2S2 at its relaxed geometry from Alexandria via LeMat-Bulk. Energies are from PBE.

Results
As for the distance to the lowest polymorph of the same formula: 164 meV/atom. Its space group is No. 127. The raw formation energy is 0.001 eV per atom.

Geometry as CIF:
```
data_InGe2S2
_chemical_formula_sum 'In2 Ge4 S4'
_cell_length_a 8.205
_cell_length_b 8.205
_cell_length_c 3.567
_cell_angle_alpha 90.00
_cell_angle_beta 90.00
_cell_angle_gamma 90.00
_space_group_name_H-M_alt 'P 1'
_space_group_IT_number 1
loop_
_space_group_symop_operation_xyz
'x,y,z'
loop_
_atom_site_label
_atom_site_type_symbol
_atom_site_fract_x
_atom_site_fract_y
_atom_site_fract_z
S1 S 0.181 0.681 0.500
In1 In 0.500 0.500 0.000
Ge1 Ge 0.819 0.681 0.000
S2 S 0.319 0.181 0.500
S3 S 0.681 0.819 0.500
Ge2 Ge 0.181 0.319 0.000
S4 S 0.819 0.319 0.500
In2 In 0.000 0.000 0.000
Ge3 Ge 0.319 0.819 0.000
Ge4 Ge 0.681 0.181 0.000
```

Here is crystalline InGe2S2 at its relaxed geometry from Alexandria via LeMat-Bulk. Energies are from PBE.

Results
As for the distance to the lowest polymorph of the same formula: 137 meV/atom. Its space group is No. 139. The raw formation energy is -0.026 eV per atom.

Geometry as CIF:
```
data_InGe2S2
_chemical_formula_sum 'In1 Ge2 S2'
_cell_length_a 4.930
_cell_length_b 4.930
_cell_length_c 5.920
_cell_angle_alpha 65.39
_cell_angle_beta 65.39
_cell_angle_gamma 90.00
_space_group_name_H-M_alt 'P 1'
_space_group_IT_number 1
loop_
_space_group_symop_operation_xyz
'x,y,z'
loop_
_atom_site_label
_atom_site_type_symbol
_atom_site_fract_x
_atom_site_fract_y
_atom_site_fract_z
S1 S 0.750 0.250 0.500
S2 S 0.250 0.750 0.500
Ge1 Ge 0.346 0.346 0.309
In1 In 0.000 0.000 0.000
Ge2 Ge 0.654 0.654 0.691
```

Here is crystalline InGe3S at its relaxed geometry from Alexandria via LeMat-Bulk. Energies are from PBE.

Results
As for the distance to the lowest polymorph of the same formula: 571 meV/atom. Its space group is No. 221. The raw formation energy is 1.015 eV per atom.

Geometry as CIF:
```
data_InGe3S
_chemical_formula_sum 'In1 Ge3 S1'
_cell_length_a 5.245
_cell_length_b 5.245
_cell_length_c 5.245
_cell_angle_alpha 90.00
_cell_angle_beta 90.00
_cell_angle_gamma 90.00
_space_group_name_H-M_alt 'P 1'
_space_group_IT_number 1
loop_
_space_group_symop_operation_xyz
'x,y,z'
loop_
_atom_site_label
_atom_site_type_symbol
_atom_site_fract_x
_atom_site_fract_y
_atom_site_fract_z
S1 S 0.500 0.500 0.500
In1 In 0.000 0.000 0.000
Ge1 Ge 0.000 0.500 0.000
Ge2 Ge 0.500 0.000 0.000
Ge3 Ge 0.000 0.000 0.500
```

Here is crystalline InGe3S at its relaxed geometry from Alexandria via LeMat-Bulk. Energies are from PBE.

Results
As for the distance to the lowest polymorph of the same formula: 0 meV/atom. Its space group is No. 221. The raw formation energy is 0.444 eV per atom.

Geometry as CIF:
```
data_InGe3S
_chemical_formula_sum 'In1 Ge3 S1'
_cell_length_a 4.974
_cell_length_b 4.974
_cell_length_c 4.974
_cell_angle_alpha 90.00
_cell_angle_beta 90.00
_cell_angle_gamma 90.00
_space_group_name_H-M_alt 'P 1'
_space_group_IT_number 1
loop_
_space_group_symop_operation_xyz
'x,y,z'
loop_
_atom_site_label
_atom_site_type_symbol
_atom_site_fract_x
_atom_site_fract_y
_atom_site_fract_z
S1 S 0.000 0.000 0.000
In1 In 0.500 0.500 0.500
Ge1 Ge 0.000 0.000 0.500
Ge2 Ge 0.500 0.000 0.000
Ge3 Ge 0.000 0.500 0.000
```

Here is crystalline In4GeS3 at its relaxed geometry from Alexandria via LeMat-Bulk. Energies are from PBE.

Results
Its space group is No. 59. The raw formation energy is -0.295 eV per atom.

Geometry as CIF:
```
data_In4GeS3
_chemical_formula_sum 'In8 Ge2 S6'
_cell_length_a 5.636
_cell_length_b 9.128
_cell_length_c 8.456
_cell_angle_alpha 90.00
_cell_angle_beta 90.00
_cell_angle_gamma 90.00
_space_group_name_H-M_alt 'P 1'
_space_group_IT_number 1
loop_
_space_group_symop_operation_xyz
'x,y,z'
loop_
_atom_site_label
_atom_site_type_symbol
_atom_site_fract_x
_atom_site_fract_y
_atom_site_fract_z
Ge1 Ge 0.436 0.500 0.141
In1 In 0.935 0.000 0.183
In2 In 0.436 0.264 0.335
In3 In 0.436 0.000 0.857
S1 S 0.435 0.259 0.647
In4 In 0.936 0.236 0.665
S2 S 0.435 0.000 0.207
In5 In 0.936 0.500 0.143
S3 S 0.435 0.741 0.647
In6 In 0.936 0.764 0.665
S4 S 0.935 0.241 0.353
In7 In 0.436 0.736 0.335
S5 S 0.935 0.759 0.353
In8 In 0.435 0.500 0.817
Ge2 Ge 0.936 0.000 0.859
S6 S 0.935 0.500 0.793
```